No. 1
Here is DyPuSb2 after structural relaxation from Alexandria. Energies are from PBE.

## Properties
Energy above the lowest structure with this stoichiometry: 0.0 kJ per mole of atoms
Uncorrected formation energy: -0.86 eV per atom
Space-group type: R-3m, No. 166

Cell lengths 4.411, 4.411, 7.609 Å; angles 90.00, 106.84, 120.00 degrees
Fractional coordinates of all 4 atoms:
Sb 0.500 0.250 0.751
Sb 0.500 0.750 0.249
Dy 0.000 0.000 0.000
Pu 0.000 0.500 0.500

***

No. 2
Here is SrI after structural relaxation from Alexandria. Energies are from PBE.

## Properties
Uncorrected formation energy: -1.03 eV per atom
Space-group type: P6_3mc, No. 186

Cell lengths 4.476, 4.476, 11.075 Å; angles 90.00, 90.00, 120.00 degrees
Fractional coordinates of all 4 atoms:
I 0.667 0.333 0.192
I 0.333 0.667 0.692
Sr 0.667 0.333 0.890
Sr 0.333 0.667 0.390

***

No. 3
Here is SmSb2Au after structural relaxation from Alexandria. Energies are from PBE.

## Properties
Uncorrected formation energy: -0.58 eV per atom
Space-group type: P4/mmm, No. 123

Cell lengths 4.347, 4.771, 4.771 Å; angles 90.00, 90.00, 90.00 degrees
Fractional coordinates of all 4 atoms:
Sm 0.500 0.500 0.500
Au 0.500 0.000 0.000
Sb 0.000 0.000 0.500
Sb 0.000 0.500 0.000

***

No. 4
Here is HfCr3Cl after structural relaxation from Alexandria. Energies are from PBE.

## Properties
Energy above the lowest structure with this stoichiometry: 164.2 kJ per mole of atoms
Uncorrected formation energy: 2.30 eV per atom
Space-group type: Pm-3m, No. 221

Cell lengths 4.668, 4.668, 4.668 Å; angles 90.00, 90.00, 90.00 degrees
Fractional coordinates of all 5 atoms:
Cr 0.000 0.500 0.000
Cr 0.500 0.000 0.000
Cr 0.000 0.000 0.500
Cl 0.500 0.500 0.500
Hf 0.000 0.000 0.000

***

No. 5
Here is KCo2Cl5 after structural relaxation from Alexandria. Energies are from PBE.

## Properties
Uncorrected formation energy: -0.81 eV per atom
Space-group type: Cmcm, No. 63

Cell lengths 5.206, 8.641, 11.543 Å; angles 90.00, 90.00, 107.53 degrees
Fractional coordinates of all 16 atoms:
Cl 0.918 0.836 0.087
Cl 0.918 0.836 0.413
Cl 0.305 0.609 0.750
Cl 0.726 0.453 0.583
Cl 0.726 0.453 0.917
Cl 0.082 0.164 0.913
Cl 0.695 0.391 0.250
Cl 0.274 0.547 0.083
Cl 0.082 0.164 0.587
Cl 0.274 0.547 0.417
Co 0.786 0.571 0.407
Co 0.214 0.429 0.907
Co 0.214 0.429 0.593
Co 0.786 0.571 0.093
K 0.072 0.143 0.250
K 0.928 0.857 0.750

***

No. 6
Here is K2Mg2Cl5 after structural relaxation from Alexandria. Energies are from PBE.

## Properties
Uncorrected formation energy: -1.61 eV per atom
Space-group type: C2/m, No. 12

Cell lengths 5.305, 7.676, 7.673 Å; angles 111.64, 90.00, 110.22 degrees
Fractional coordinates of all 9 atoms:
Cl 0.344 0.688 0.081
Cl 0.151 0.303 0.564
Cl 0.000 0.000 0.000
Cl 0.849 0.697 0.436
Cl 0.656 0.312 0.919
Mg 0.851 0.702 0.124
Mg 0.149 0.298 0.876
K 0.391 0.782 0.692
K 0.609 0.218 0.308

***

No. 7
Here is HfRh2F after structural relaxation from Alexandria. Energies are from PBE.

## Properties
Energy above the lowest structure with this stoichiometry: 0.0 kJ per mole of atoms
Uncorrected formation energy: -0.58 eV per atom
Space-group type: I-42d, No. 122

Cell lengths 7.044, 7.044, 5.567 Å; angles 50.75, 50.75, 90.00 degrees
Fractional coordinates of all 8 atoms:
F 0.500 0.500 0.000
F 0.250 0.750 0.500
Rh 0.375 0.406 0.750
Rh 0.875 0.844 0.750
Rh 0.156 0.625 0.250
Rh 0.594 0.125 0.250
Hf 0.000 0.000 0.000
Hf 0.750 0.250 0.500

***

No. 8
Here is AcLa2PrTl after structural relaxation from Alexandria. Energies are from PBE.

## Properties
ΔE_f: 0.02 eV per atom
Space-group type: Cmcm, No. 63

Cell lengths 7.128, 7.032, 8.362 Å; angles 114.86, 90.00, 90.00 degrees
Fractional coordinates of all 10 atoms:
Tl 0.750 0.352 0.704
Tl 0.250 0.648 0.296
Ac 0.250 0.253 0.506
Ac 0.750 0.747 0.494
Pr 0.250 0.849 0.698
Pr 0.750 0.151 0.302
La 0.000 0.744 0.000
La 0.000 0.256 0.000
La 0.500 0.744 0.000
La 0.500 0.256 0.000

***

No. 9
Here is MoAs2P after structural relaxation from Alexandria. Energies are from PBE.

## Properties
ΔE_f: 0.43 eV per atom
Space-group type: I-4m2, No. 119

Cell lengths 4.466, 4.466, 4.466 Å; angles 119.16, 119.16, 91.46 degrees
Fractional coordinates of all 4 atoms:
As 0.000 0.000 0.000
As 0.250 0.750 0.500
Mo 0.500 0.500 0.000
P 0.750 0.250 0.500

***

Number 1: theoretical density 8.9 g cm⁻³, total magnetic moment 5.04 Bohr magnetons per cell. Number 2: theoretical density 3.7 g cm⁻³, total magnetic moment 1.58 Bohr magnetons per cell. Number 3: theoretical density 9.9 g cm⁻³, total magnetic moment 0.00 Bohr magnetons per cell. Number 4: theoretical density 6.0 g cm⁻³, total magnetic moment 0.01 Bohr magnetons per cell. Number 5: theoretical density 2.2 g cm⁻³, total magnetic moment 12.00 Bohr magnetons per cell. Number 6: theoretical density 1.9 g cm⁻³, total magnetic moment 0.00 Bohr magnetons per cell. Number 7: theoretical density 10.9 g cm⁻³, total magnetic moment 0.00 Bohr magnetons per cell. Number 8: theoretical density 7.4 g cm⁻³, total magnetic moment 0.00 Bohr magnetons per cell. Number 9: theoretical density 7.2 g cm⁻³, total magnetic moment 0.00 Bohr magnetons per cell.